The following is a DFT calculation (PBE) of a relaxed structure of BeCuAs2Se.

extended XYZ file:
```
5
Lattice="-1.441 0.500 4.366 -4.381 -0.523 -1.386 0.364 -4.835 0.674" Properties=species:S:1:pos:R:3 pbc="T T T"
Be -2.729 -2.429 1.827
As -2.190 -0.261 -0.693
As -0.720 0.250 2.183
Cu 0.000 0.000 0.000
Se 0.182 -2.418 0.337
```

As for the space-group type: P4/mmm, No. 123. For the final energy, the calculation gives -0.232 Ry/atom. As for the uncorrected formation energy: 0.969 eV/atom.

---

The following is a DFT calculation (PBE) of a relaxed structure of BeCuAs2Se.

extended XYZ file:
```
5
Lattice="-2.657 -3.144 -1.560 2.920 -3.065 1.206 -2.099 -0.331 4.241" Properties=species:S:1:pos:R:3 pbc="T T T"
Be 0.000 0.000 0.000
As 1.460 -1.533 0.603
As -1.328 -1.572 -0.780
Cu -0.918 -3.270 1.944
Se -1.049 -0.165 2.121
```

As for the space-group type: P4/mmm, No. 123. For the final energy, the calculation gives -0.257 Ry/atom. As for the uncorrected formation energy: 0.625 eV/atom.

---

The following is a DFT calculation (PBE) of a relaxed structure of BeCuAsSe2.

extended XYZ file:
```
5
Lattice="4.879 0.000 0.000 0.000 4.879 0.000 0.000 0.000 4.487" Properties=species:S:1:pos:R:3 pbc="T T T"
Be 2.440 2.440 2.244
As 0.000 0.000 2.244
Cu 0.000 0.000 0.000
Se 0.000 2.440 0.000
Se 2.440 0.000 0.000
```

As for the space-group type: P4/mmm, No. 123. For the final energy, the calculation gives -0.219 Ry/atom. As for the uncorrected formation energy: 0.907 eV/atom.

---

The following is a DFT calculation (PBE) of a relaxed structure of BeCuAsSe2.

extended XYZ file:
```
5
Lattice="-1.024 -0.317 -4.598 -4.239 -1.785 1.067 -1.627 3.918 0.092" Properties=species:S:1:pos:R:3 pbc="T T T"
Be 0.000 0.000 0.000
As -0.814 1.959 0.046
Cu -3.445 0.908 -1.720
Se -2.119 -0.893 0.533
Se -0.512 -0.159 -2.299
```

As for the space-group type: P4/mmm, No. 123. For the final energy, the calculation gives -0.244 Ry/atom. As for the uncorrected formation energy: 0.567 eV/atom.

---

Asked for energy above the most stable polymorph in this dataset across the records above, the calculation gives 33.2, 0.0, 32.8, 0.0 kJ/mol of atoms in order.